# 1
# TiAg2Cl, optimized geometry, DFT PBE-GGA
# Raw total energy = -3.39 eV per atom
# Crystal system = cubic
# DOS at the Fermi energy = 19.50 states/eV per cell
# Formation energy from raw total energies = 0.4680 eV/atom
data_TiAg2Cl
_space_group_name_H-M_alt 'F m -3 m'
_space_group_IT_number 225
_space_group_name_Hall '-F 4 2 3'
_cell_length_a 6.782
_cell_length_b 6.782
_cell_length_c 6.782
_cell_angle_alpha 90.00
_cell_angle_beta 90.00
_cell_angle_gamma 90.00
loop_
_atom_site_label
_atom_site_type_symbol
_atom_site_fract_x
_atom_site_fract_y
_atom_site_fract_z
_atom_site_occupancy
Ti1 Ti 0.000 0.000 0.000 1
Ag1 Ag 0.250 0.250 0.250 1
Cl1 Cl 0.000 0.000 0.500 1

# 2
# TiAgCl6, optimized geometry, DFT PBE-GGA
# Raw total energy = -3.75 eV per atom
# Crystal system = triclinic
# DOS at the Fermi energy = 3.89 states/eV per cell
# Formation energy from raw total energies = -1.0189 eV/atom
data_TiAgCl6
_space_group_name_H-M_alt 'P -1'
_space_group_IT_number 2
_cell_length_a 5.773
_cell_length_b 6.677
_cell_length_c 7.193
_cell_angle_alpha 117.12
_cell_angle_beta 110.70
_cell_angle_gamma 92.31
loop_
_space_group_symop_operation_xyz
'x,y,z'
'-x,-y,-z'
loop_
_atom_site_label
_atom_site_type_symbol
_atom_site_fract_x
_atom_site_fract_y
_atom_site_fract_z
_atom_site_occupancy
Ti1 Ti 0.000 0.000 0.000 1
Ag1 Ag 0.500 0.500 0.000 1
Cl1 Cl 0.129 0.643 0.838 1
Cl2 Cl 0.182 0.130 0.808 1
Cl3 Cl 0.363 0.174 0.329 1

# 3
# TiAg2Cl2, optimized geometry, DFT PBE-GGA
# Raw total energy = -3.25 eV per atom
# Crystal system = tetragonal
# DOS at the Fermi energy = 25.05 states/eV per cell
# Formation energy from raw total energies = 0.2126 eV/atom
data_TiAg2Cl2
_space_group_name_H-M_alt 'I 4/m m m'
_space_group_IT_number 139
_space_group_name_Hall '-I 4 2'
_cell_length_a 4.418
_cell_length_b 4.418
_cell_length_c 11.459
_cell_angle_alpha 90.00
_cell_angle_beta 90.00
_cell_angle_gamma 90.00
loop_
_atom_site_label
_atom_site_type_symbol
_atom_site_fract_x
_atom_site_fract_y
_atom_site_fract_z
_atom_site_occupancy
Ti1 Ti 0.000 0.000 0.000 1
Ag1 Ag 0.000 0.000 0.387 1
Cl1 Cl 0.000 0.500 0.250 1

# 4
# TiAg2Cl2, optimized geometry, DFT PBE-GGA
# Raw total energy = -3.20 eV per atom
# Crystal system = tetragonal
# DOS at the Fermi energy = 10.78 states/eV per cell
# Formation energy from raw total energies = 0.2607 eV/atom
data_TiAg2Cl2
_space_group_name_H-M_alt 'P 4/m b m'
_space_group_IT_number 127
_space_group_name_Hall '-P 4 2ab'
_cell_length_a 7.427
_cell_length_b 7.427
_cell_length_c 3.975
_cell_angle_alpha 90.00
_cell_angle_beta 90.00
_cell_angle_gamma 90.00
loop_
_atom_site_label
_atom_site_type_symbol
_atom_site_fract_x
_atom_site_fract_y
_atom_site_fract_z
_atom_site_occupancy
Ti1 Ti 0.000 0.000 0.000 1
Ag1 Ag 0.128 0.372 0.000 1
Cl1 Cl 0.197 0.697 0.500 1

# 5
# TiAg3Cl, optimized geometry, DFT PBE-GGA
# Raw total energy = -2.61 eV per atom
# Crystal system = cubic
# DOS at the Fermi energy = 2.11 states/eV per cell
# Formation energy from raw total energies = 1.0464 eV/atom
data_TiAg3Cl
_space_group_name_H-M_alt 'P m -3 m'
_space_group_IT_number 221
_space_group_name_Hall '-P 4 2 3'
_cell_length_a 5.160
_cell_length_b 5.160
_cell_length_c 5.160
_cell_angle_alpha 90.00
_cell_angle_beta 90.00
_cell_angle_gamma 90.00
loop_
_atom_site_label
_atom_site_type_symbol
_atom_site_fract_x
_atom_site_fract_y
_atom_site_fract_z
_atom_site_occupancy
Ti1 Ti 0.000 0.000 0.000 1
Ag1 Ag 0.000 0.000 0.500 1
Cl1 Cl 0.500 0.500 0.500 1

# 6
# Ti2AgCl, optimized geometry, DFT PBE-GGA
# Raw total energy = -4.96 eV per atom
# Crystal system = cubic
# DOS at the Fermi energy = 16.85 states/eV per cell
# Formation energy from raw total energies = 0.1658 eV/atom
data_Ti2AgCl
_space_group_name_H-M_alt 'F m -3 m'
_space_group_IT_number 225
_space_group_name_Hall '-F 4 2 3'
_cell_length_a 6.486
_cell_length_b 6.486
_cell_length_c 6.486
_cell_angle_alpha 90.00
_cell_angle_beta 90.00
_cell_angle_gamma 90.00
loop_
_atom_site_label
_atom_site_type_symbol
_atom_site_fract_x
_atom_site_fract_y
_atom_site_fract_z
_atom_site_occupancy
Ti1 Ti 0.250 0.250 0.250 1
Ag1 Ag 0.000 0.000 0.000 1
Cl1 Cl 0.000 0.000 0.500 1

Number 1 is which compound? TiAg2Cl

Copy entry 5 word for word.
# TiAg3Cl, optimized geometry, DFT PBE-GGA
# Raw total energy = -2.61 eV per atom
# Crystal system = cubic
# DOS at the Fermi energy = 2.11 states/eV per cell
# Formation energy from raw total energies = 1.0464 eV/atom
data_TiAg3Cl
_space_group_name_H-M_alt 'P m -3 m'
_space_group_IT_number 221
_space_group_name_Hall '-P 4 2 3'
_cell_length_a 5.160
_cell_length_b 5.160
_cell_length_c 5.160
_cell_angle_alpha 90.00
_cell_angle_beta 90.00
_cell_angle_gamma 90.00
loop_
_atom_site_label
_atom_site_type_symbol
_atom_site_fract_x
_atom_site_fract_y
_atom_site_fract_z
_atom_site_occupancy
Ti1 Ti 0.000 0.000 0.000 1
Ag1 Ag 0.000 0.000 0.500 1
Cl1 Cl 0.500 0.500 0.500 1